(1)
A relaxed Hf4GaCoC2 crystal, computed with GGA-PBE.

Values from the calculation:
- Space-group type: P-6m2 (187)

a b c (Å): 3.246 3.246 13.600
angles (deg): 90.00 90.00 120.00
Sites, in units of the cell vectors:
Hf (0.000, 0.000, 0.142)
Hf (0.000, 0.000, 0.858)
Hf (0.667, 0.333, 0.333)
Hf (0.667, 0.333, 0.667)
Ga (0.000, 0.000, 0.500)
Co (0.667, 0.333, 0.000)
C (0.333, 0.667, 0.243)
C (0.333, 0.667, 0.757)

=====

(2)
A relaxed GaCoMoC crystal, computed with GGA-PBE.

Values from the calculation:
- Space-group type: P-3m1 (164)

a b c (Å): 2.979 2.979 12.515
angles (deg): 90.00 90.00 120.00
Sites, in units of the cell vectors:
Ga (0.333, 0.667, 0.272)
Ga (0.667, 0.333, 0.728)
Co (0.333, 0.667, 0.572)
Co (0.667, 0.333, 0.428)
Mo (0.333, 0.667, 0.902)
Mo (0.667, 0.333, 0.098)
C (0.000, 0.000, 0.000)
C (0.000, 0.000, 0.500)

=====

Number 1: raw total energy -9.15 eV per atom. Number 2: raw total energy -7.61 eV per atom.